# CeNd2RhN4 (PBE, optimized geometry)
# N(E_F) (states/eV per cell): 11.9
# DFT total energy (eV/f.u.): -63.1
# Magnetization (μB/cell): 0.00
# Uncorrected formation energy (eV/atom): -0.8757
data_CeNd2RhN4
_symmetry_space_group_name_H-M 'C m c m'
_symmetry_Int_Tables_number 63
_symmetry_space_group_name_Hall '-C 2c 2'
_cell_length_a 3.457
_cell_length_b 11.920
_cell_length_c 12.007
_cell_angle_alpha 90.00
_cell_angle_beta 90.00
_cell_angle_gamma 90.00
loop_
_atom_site_label
_atom_site_fract_x
_atom_site_fract_y
_atom_site_fract_z
_atom_site_occupancy
Ce1 0.000 0.112 0.250 1
Nd1 0.000 0.370 0.050 1
Rh1 0.000 0.151 0.750 1
N1 0.000 0.000 0.000 1
N2 0.000 0.283 0.638 1
N3 0.000 0.456 0.250 1



# Ce2NdRhN4 (PBE, optimized geometry)
# N(E_F) (states/eV per cell): 20.9
# DFT total energy (eV/f.u.): -65.6
# Magnetization (μB/cell): 0.00
# Uncorrected formation energy (eV/atom): -1.0378
data_Ce2NdRhN4
_symmetry_space_group_name_H-M 'C m c m'
_symmetry_Int_Tables_number 63
_symmetry_space_group_name_Hall '-C 2c 2'
_cell_length_a 3.440
_cell_length_b 11.930
_cell_length_c 11.825
_cell_angle_alpha 90.00
_cell_angle_beta 90.00
_cell_angle_gamma 90.00
loop_
_atom_site_label
_atom_site_fract_x
_atom_site_fract_y
_atom_site_fract_z
_atom_site_occupancy
Ce1 0.000 0.130 0.053 1
Nd1 0.000 0.389 0.250 1
Rh1 0.000 0.350 0.750 1
N1 0.000 0.044 0.250 1
N2 0.000 0.227 0.619 1
N3 0.000 0.500 0.000 1



# CeNdSN (PBE, optimized geometry)
# N(E_F) (states/eV per cell): 11.2
# DFT total energy (eV/f.u.): -30.1
# Magnetization (μB/cell): 0.88
# Uncorrected formation energy (eV/atom): -1.7293
data_CeNdSN
_symmetry_space_group_name_H-M 'R 3 m'
_symmetry_Int_Tables_number 160
_symmetry_space_group_name_Hall 'R 3 -2"'
_cell_length_a 3.7672
_cell_length_b 3.7672
_cell_length_c 19.3459
_cell_angle_alpha 90.00
_cell_angle_beta 90.00
_cell_angle_gamma 120.00
loop_
_atom_site_label
_atom_site_fract_x
_atom_site_fract_y
_atom_site_fract_z
_atom_site_occupancy
Ce1 0.0000 0.0000 0.0000 1
Nd1 0.0000 0.0000 0.4751 1
S1 0.0000 0.0000 0.2386 1
N1 0.0000 0.0000 0.7316 1



# Ce2NdSbN2 (PBE, optimized geometry)
# N(E_F) (states/eV per cell): 9.8
# DFT total energy (eV/f.u.): -42.6
# Magnetization (μB/cell): 1.97
# Uncorrected formation energy (eV/atom): -0.8653
data_Ce2NdSbN2
_symmetry_space_group_name_H-M 'P 4/m m m'
_symmetry_Int_Tables_number 123
_symmetry_space_group_name_Hall '-P 4 2'
_cell_length_a 4.581
_cell_length_b 4.581
_cell_length_c 6.631
_cell_angle_alpha 90.00
_cell_angle_beta 90.00
_cell_angle_gamma 90.00
loop_
_atom_site_label
_atom_site_fract_x
_atom_site_fract_y
_atom_site_fract_z
_atom_site_occupancy
Ce1 0.000 0.000 0.228 1
Nd1 0.500 0.500 0.000 1
Sb1 0.500 0.500 0.500 1
N1 0.000 0.500 0.000 1



# Ce2Nd4Sb3N2 (PBE, optimized geometry)
# N(E_F) (states/eV per cell): 31.1
# DFT total energy (eV/f.u.): -72.3
# Magnetization (μB/cell): 4.19
# Uncorrected formation energy (eV/atom): -1.1224
data_Ce2Nd4Sb3N2
_symmetry_space_group_name_H-M 'I 4/m m m'
_symmetry_Int_Tables_number 139
_symmetry_space_group_name_Hall '-I 4 2'
_cell_length_a 4.830
_cell_length_b 4.830
_cell_length_c 25.913
_cell_angle_alpha 90.00
_cell_angle_beta 90.00
_cell_angle_gamma 90.00
loop_
_atom_site_label
_atom_site_fract_x
_atom_site_fract_y
_atom_site_fract_z
_atom_site_occupancy
Ce1 0.000 0.000 0.192 1
Nd1 0.000 0.500 0.082 1
Sb1 0.000 0.000 0.322 1
Sb2 0.000 0.000 0.500 1
N1 0.000 0.000 0.108 1



# Ce4Nd2Sb3N2 (PBE, optimized geometry)
# N(E_F) (states/eV per cell): 43.4
# DFT total energy (eV/f.u.): -74.7
# Magnetization (μB/cell): 6.55
# Uncorrected formation energy (eV/atom): -1.1249
data_Ce4Nd2Sb3N2
_symmetry_space_group_name_H-M 'I 4/m m m'
_symmetry_Int_Tables_number 139
_symmetry_space_group_name_Hall '-I 4 2'
_cell_length_a 4.698
_cell_length_b 4.698
_cell_length_c 26.367
_cell_angle_alpha 90.00
_cell_angle_beta 90.00
_cell_angle_gamma 90.00
loop_
_atom_site_label
_atom_site_fract_x
_atom_site_fract_y
_atom_site_fract_z
_atom_site_occupancy
Ce1 0.000 0.500 0.085 1
Nd1 0.000 0.000 0.197 1
Sb1 0.000 0.000 0.322 1
Sb2 0.000 0.000 0.500 1
N1 0.000 0.000 0.103 1



# CeNd2Se2N2 (PBE, optimized geometry)
# DFT total energy (eV/f.u.): -49.6
# Magnetization (μB/cell): 0.00
# Uncorrected formation energy (eV/atom): -1.5016
data_CeNd2Se2N2
_symmetry_space_group_name_H-M 'I 4/m m m'
_symmetry_Int_Tables_number 139
_symmetry_space_group_name_Hall '-I 4 2'
_cell_length_a 4.431
_cell_length_b 4.431
_cell_length_c 15.404
_cell_angle_alpha 90.00
_cell_angle_beta 90.00
_cell_angle_gamma 90.00
loop_
_atom_site_label
_atom_site_fract_x
_atom_site_fract_y
_atom_site_fract_z
_atom_site_occupancy
Ce1 0.000 0.000 0.000 1
Nd1 0.000 0.000 0.384 1
Se1 0.000 0.000 0.187 1
N1 0.000 0.500 0.000 1



# CeNdSe2N (PBE, optimized geometry)
# N(E_F) (states/eV per cell): 1.4
# DFT total energy (eV/f.u.): -34.5
# Magnetization (μB/cell): 0.00
# Uncorrected formation energy (eV/atom): -1.6908
data_CeNdSe2N
_symmetry_space_group_name_H-M 'P 4/n m m'
_symmetry_Int_Tables_number 129
_cell_length_a 4.067
_cell_length_b 4.067
_cell_length_c 14.984
_cell_angle_alpha 90.00
_cell_angle_beta 90.00
_cell_angle_gamma 90.00
loop_
_symmetry_equiv_pos_as_xyz
'x,y,z'
'-x,-y,-z'
'-y+1/2,x,z'
'y+1/2,-x,-z'
'-x+1/2,-y+1/2,z'
'x+1/2,y+1/2,-z'
'y,-x+1/2,z'
'-y,x+1/2,-z'
'x+1/2,-y,-z'
'-x+1/2,y,z'
'-y,-x,-z'
'y,x,z'
'-x,y+1/2,-z'
'x,-y+1/2,z'
'y+1/2,x+1/2,-z'
'-y+1/2,-x+1/2,z'
loop_
_atom_site_label
_atom_site_fract_x
_atom_site_fract_y
_atom_site_fract_z
_atom_site_occupancy
Ce1 0.250 0.250 0.073 1
Nd1 0.250 0.250 0.632 1
Se1 0.250 0.250 0.412 1
Se2 0.250 0.250 0.815 1
N1 0.250 0.750 0.000 1



# CeNd2SiN4 (PBE, optimized geometry)
# N(E_F) (states/eV per cell): 27.4
# DFT total energy (eV/f.u.): -63.1
# Magnetization (μB/cell): 3.99
# Uncorrected formation energy (eV/atom): -1.1096
data_CeNd2SiN4
_symmetry_space_group_name_H-M 'C m c m'
_symmetry_Int_Tables_number 63
_symmetry_space_group_name_Hall '-C 2c 2'
_cell_length_a 3.471
_cell_length_b 11.716
_cell_length_c 12.128
_cell_angle_alpha 90.00
_cell_angle_beta 90.00
_cell_angle_gamma 90.00
loop_
_atom_site_label
_atom_site_fract_x
_atom_site_fract_y
_atom_site_fract_z
_atom_site_occupancy
Ce1 0.000 0.092 0.250 1
Nd1 0.000 0.367 0.044 1
Si1 0.000 0.181 0.750 1
N1 0.000 0.000 0.000 1
N2 0.000 0.274 0.638 1
N3 0.000 0.403 0.250 1



# Ce3Nd2SmN6 (PBE, optimized geometry)
# N(E_F) (states/eV per cell): 15.2
# DFT total energy (eV/f.u.): -99.7
# Magnetization (μB/cell): 0.01
# Uncorrected formation energy (eV/atom): -1.4723
data_Ce3Nd2SmN6
_symmetry_space_group_name_H-M 'C 1 2/m 1'
_symmetry_Int_Tables_number 12
_cell_length_a 6.228
_cell_length_b 10.785
_cell_length_c 6.224
_cell_angle_alpha 90.00
_cell_angle_beta 109.49
_cell_angle_gamma 90.00
loop_
_symmetry_equiv_pos_as_xyz
'x,y,z'
'-x,-y,-z'
'-x,y,-z'
'x,-y,z'
'x+1/2,y+1/2,z'
'-x+1/2,-y+1/2,-z'
'-x+1/2,y+1/2,-z'
'x+1/2,-y+1/2,z'
loop_
_atom_site_label
_atom_site_fract_x
_atom_site_fract_y
_atom_site_fract_z
_atom_site_occupancy
Ce1 0.000 0.000 0.000 1
Ce2 0.000 0.334 0.000 1
Nd1 0.000 0.167 0.500 1
Sm1 0.000 0.500 0.500 1
N1 0.241 0.500 0.236 1
N2 0.247 0.165 0.236 1



# Ce3NdSm4N8 (PBE, optimized geometry)
# N(E_F) (states/eV per cell): 26.2
# DFT total energy (eV/f.u.): -131.9
# Magnetization (μB/cell): 0.80
# Uncorrected formation energy (eV/atom): -1.4900
data_Ce3NdSm4N8
_symmetry_space_group_name_H-M 'R -3 m'
_symmetry_Int_Tables_number 166
_symmetry_space_group_name_Hall '-R 3 2"'
_cell_length_a 7.1714
_cell_length_b 7.1714
_cell_length_c 17.5316
_cell_angle_alpha 90.00
_cell_angle_beta 90.00
_cell_angle_gamma 120.00
loop_
_atom_site_label
_atom_site_fract_x
_atom_site_fract_y
_atom_site_fract_z
_atom_site_occupancy
Ce1 0.0000 0.5000 0.0000 1
Nd1 0.0000 0.0000 0.0000 1
Sm1 0.0000 0.0000 0.5000 1
Sm2 0.0000 0.5000 0.5000 1
N1 0.0000 0.0000 0.2529 1
N2 0.0077 0.5038 0.2522 1



# Ce2NdSm3N6 (PBE, optimized geometry)
# N(E_F) (states/eV per cell): 10.5
# DFT total energy (eV/f.u.): -98.6
# Magnetization (μB/cell): 0.01
# Uncorrected formation energy (eV/atom): -1.4892
data_Ce2NdSm3N6
_symmetry_space_group_name_H-M 'C 1 2/m 1'
_symmetry_Int_Tables_number 12
_cell_length_a 6.215
_cell_length_b 10.767
_cell_length_c 6.208
_cell_angle_alpha 90.00
_cell_angle_beta 109.51
_cell_angle_gamma 90.00
loop_
_symmetry_equiv_pos_as_xyz
'x,y,z'
'-x,-y,-z'
'-x,y,-z'
'x,-y,z'
'x+1/2,y+1/2,z'
'-x+1/2,-y+1/2,-z'
'-x+1/2,y+1/2,-z'
'x+1/2,-y+1/2,z'
loop_
_atom_site_label
_atom_site_fract_x
_atom_site_fract_y
_atom_site_fract_z
_atom_site_occupancy
Ce1 0.000 0.167 0.000 1
Nd1 0.000 0.500 0.000 1
Sm1 0.000 0.000 0.500 1
Sm2 0.000 0.333 0.500 1
N1 0.238 0.000 0.244 1
N2 0.247 0.172 0.756 1